PmNd3Sm6: optimized geometry, GGA-PBE.

abc: 10.0590 10.0590 11.8956
angles: 90.00 90.00 120.00
Last column: nearest neighbours and their distance in Å.
Space group R-3 (No. 148, hexagonal axes)
One atom of each set of equivalent atoms:
Pm: 0.0000 0.0000 0.0000  2 Nd 2.97
Nd: 0.0000 0.0000 0.2497  1 Pm 2.97, 1 Nd 2.98, 3 Sm 3.28
Nd: 0.0000 0.0000 0.5000  2 Nd 2.98
Sm: 0.9997 0.3256 0.2497  2 Nd 3.28-3.53, 1 Pm 3.53

Formation energy: 0.25 eV/atom
Calculated density: 7072 kg/m³
Energy above the lowest structure with this stoichiometry: 112 meV/atom
Energy: -4.49 eV per atom